DFT (PBE) results for a relaxed ScBe2Cr crystal.

The structure belongs to space group Fm-3m (No. 225); the cell edges are 5.9669, 5.9669 and 5.9669 Å and the angles 90.00°, 90.00° and 90.00°. Symmetry generates all atoms from Sc at (0.0000, 0.0000, 0.0000), Be at (0.2500, 0.2500, 0.2500) and Cr at (0.0000, 0.0000, 0.5000).

As for the raw total energy: -91.8 eV per cell. As for the density of states at the Fermi level: 13.0 states/eV per cell. Its size of the total moment is 11.89 μB/cell. The formation enthalpy at 0 K comes out at 0.12 eV/atom. For the offset from the most stable computed form, the calculation gives 0.072 eV per atom.



DFT (PBE) results for a relaxed PrNdEr3 crystal.

The structure belongs to space group P2_1/m (No. 11); the cell edges are 3.6374, 11.5761 and 8.6757 Å and the angles 90.00°, 102.09° and 90.00°. Symmetry generates all atoms from Pr at (0.0145, 0.2500, 0.0264), Nd at (0.3117, 0.7500, 0.6236), Er at (0.1595, 0.5026, 0.3190) and Er at (0.3483, 0.2500, 0.6952).

As for the raw total energy: -43.5 eV per cell. As for the density of states at the Fermi level: 13.6 states/eV per cell. Its size of the total moment is 0.00 μB/cell. The formation enthalpy at 0 K comes out at 0.30 eV/atom. For the offset from the most stable computed form, the calculation gives 0.064 eV per atom.